Record 1
This record from the Alexandria database describes crystalline Sc2UIn at its relaxed geometry. The functional is PBE-GGA.

a b c (Å): 5.086 5.086 5.086
angles (deg): 60.00 60.00 60.00
Site moments in Bohr magnetons follow the coordinates.
Fractional positions:
In: 0.500 0.500 0.500  -0.05
Sc: 0.250 0.250 0.250  0.34
Sc: 0.750 0.750 0.750  0.34
U: 0.000 0.000 0.000  2.65

## Properties
distance to the lowest polymorph of the same formula = 0.2516 eV/atom
ΔH_f (0 K) = 0.186 eV/atom
VASP energy = -0.23839 hartree per atom
crystal system = cubic
mass density = 7.90 g/cm³

Record 2
This record from the Alexandria database describes crystalline Sc2VIn2 at its relaxed geometry. The functional is PBE-GGA.

a b c (Å): 7.550 7.550 3.930
angles (deg): 90.00 90.00 90.00
Site moments in Bohr magnetons follow the coordinates.
Fractional positions:
V: 0.000 0.000 0.000  2.44
V: 0.500 0.500 0.000  2.44
In: 0.865 0.635 0.000  -0.02
In: 0.135 0.365 0.000  -0.02
In: 0.365 0.865 0.000  -0.02
In: 0.635 0.135 0.000  -0.02
Sc: 0.170 0.670 0.500  0.08
Sc: 0.830 0.330 0.500  0.08
Sc: 0.670 0.830 0.500  0.08
Sc: 0.330 0.170 0.500  0.08

## Properties
distance to the lowest polymorph of the same formula = 0.0000 eV/atom
ΔH_f (0 K) = -0.052 eV/atom
VASP energy = -0.20227 hartree per atom
crystal system = tetragonal
mass density = 5.49 g/cm³

Record 3
This record from the Alexandria database describes crystalline Sc2VIn2 at its relaxed geometry. The functional is PBE-GGA.

a b c (Å): 3.976 3.976 8.310
angles (deg): 76.16 76.16 90.00
Site moments in Bohr magnetons follow the coordinates.
Fractional positions:
In: 0.750 0.250 0.500  -0.01
In: 0.250 0.750 0.500  -0.01
V: 0.000 0.000 0.000  2.46
Sc: 0.594 0.594 0.813  0.03
Sc: 0.406 0.406 0.187  0.03

## Properties
distance to the lowest polymorph of the same formula = 0.4649 eV/atom
ΔH_f (0 K) = 0.413 eV/atom
VASP energy = -0.18519 hartree per atom
crystal system = tetragonal
mass density = 4.98 g/cm³

Record 4
This record from the Alexandria database describes crystalline ScV2In2 at its relaxed geometry. The functional is PBE-GGA.

a b c (Å): 7.926 7.926 3.073
angles (deg): 90.00 90.00 90.00
Site moments in Bohr magnetons follow the coordinates.
Fractional positions:
In: 0.803 0.303 0.500  -0.01
In: 0.697 0.803 0.500  -0.01
In: 0.197 0.697 0.500  -0.01
In: 0.303 0.197 0.500  -0.01
Sc: 0.500 0.500 0.000  0.27
Sc: 0.000 0.000 0.000  0.27
V: 0.092 0.408 0.000  0.18
V: 0.592 0.092 0.000  0.18
V: 0.908 0.592 0.000  0.18
V: 0.408 0.908 0.000  0.18

## Properties
ΔH_f (0 K) = 0.148 eV/atom
VASP energy = -0.21539 hartree per atom
crystal system = tetragonal
mass density = 6.48 g/cm³

Record 5
This record from the Alexandria database describes crystalline Sc2VIn2 at its relaxed geometry. The functional is PBE-GGA.

a b c (Å): 7.238 7.238 4.353
angles (deg): 90.00 90.00 90.00
Site moments in Bohr magnetons follow the coordinates.
Fractional positions:
Sc: 0.653 0.153 0.000  0.02
Sc: 0.847 0.653 0.000  0.02
Sc: 0.347 0.847 0.000  0.02
Sc: 0.153 0.347 0.000  0.02
In: 0.845 0.345 0.500  -0.04
In: 0.655 0.845 0.500  -0.04
In: 0.155 0.655 0.500  -0.04
In: 0.345 0.155 0.500  -0.04
V: 0.500 0.500 0.000  2.25
V: 0.000 0.000 0.000  2.25

## Properties
distance to the lowest polymorph of the same formula = 0.2516 eV/atom
ΔH_f (0 K) = 0.199 eV/atom
VASP energy = -0.19302 hartree per atom
crystal system = tetragonal
mass density = 5.40 g/cm³

Record 6
This record from the Alexandria database describes crystalline ScVIn2 at its relaxed geometry. The functional is PBE-GGA.

a b c (Å): 4.873 4.873 4.873
angles (deg): 60.00 60.00 60.00
Site moments in Bohr magnetons follow the coordinates.
Fractional positions:
V: 0.500 0.500 0.500  2.44
Sc: 0.000 0.000 0.000  0.03
In: 0.750 0.750 0.750  -0.03
In: 0.250 0.250 0.250  -0.03

## Properties
distance to the lowest polymorph of the same formula = 0.0000 eV/atom
ΔH_f (0 K) = -0.063 eV/atom
VASP energy = -0.19458 hartree per atom
crystal system = cubic
mass density = 6.61 g/cm³

Q: What is the formula in the second record?
A: Sc2VIn2

Q: What is the formula in the third record?
A: Sc2VIn2

Q: ΔH_f (0 K) of number 6 (ScVIn2)?
A: -0.063 eV/atom